[1]
This record from Alexandria describes an optimized crystal structure of ScCo22B6. The functional is GGA-PBE.

Cell lengths 7.4155, 7.4155, 7.4155 Å; angles 60.00, 60.00, 60.00 degrees
With the nearest neighbours (Å) after each atom.
Fractional coordinates of all 29 atoms:
Sc (0.0000, 0.0000, 0.0000)  12 Co 2.56, 6 B 2.86
Co (0.7500, 0.7500, 0.7500)  4 Co 2.38
Co (0.2500, 0.2500, 0.2500)  4 Co 2.38
Co (0.6189, 0.6189, 0.1432)  3 B 2.10
Co (0.6189, 0.6189, 0.6189)  3 B 2.10
Co (0.6189, 0.1432, 0.6189)  3 B 2.10
Co (0.1432, 0.6189, 0.6189)  3 B 2.10
Co (0.3811, 0.3811, 0.8568)  3 B 2.10
Co (0.3811, 0.3811, 0.3811)  3 B 2.10
Co (0.3811, 0.8568, 0.3811)  3 B 2.10
Co (0.8568, 0.3811, 0.3811)  3 B 2.10
Co (0.6549, 0.0000, 0.3451)  2 B 2.09, 1 Co 2.30
Co (0.0000, 0.6549, 0.3451)  2 B 2.09, 1 Co 2.30
Co (0.0000, 0.0000, 0.3451)  2 B 2.09, 1 Co 2.30
Co (0.0000, 0.6549, 0.0000)  2 B 2.09, 1 Co 2.30
Co (0.6549, 0.0000, 0.0000)  2 B 2.09, 1 Co 2.30
Co (0.0000, 0.0000, 0.6549)  2 B 2.09, 1 Co 2.30
Co (0.0000, 0.3451, 0.0000)  2 B 2.09, 1 Co 2.30
Co (0.0000, 0.3451, 0.6549)  2 B 2.09, 1 Co 2.30
Co (0.6549, 0.3451, 0.0000)  2 B 2.09, 1 Co 2.30
Co (0.3451, 0.0000, 0.6549)  2 B 2.09, 1 Co 2.30
Co (0.3451, 0.0000, 0.0000)  2 B 2.09, 1 Co 2.30
Co (0.3451, 0.6549, 0.0000)  2 B 2.09, 1 Co 2.30
B (0.2722, 0.7278, 0.2722)  8 Co 2.09-2.10
B (0.7278, 0.2722, 0.2722)  8 Co 2.09-2.10
B (0.7278, 0.7278, 0.2722)  8 Co 2.09-2.10
B (0.7278, 0.2722, 0.7278)  8 Co 2.09-2.10
B (0.2722, 0.7278, 0.7278)  8 Co 2.09-2.10
B (0.2722, 0.2722, 0.7278)  8 Co 2.09-2.10

Output
ΔH_f (0 K) in meV per atom: -167
Total moment in μB per atom: 0.91


[2]
This record from Alexandria describes an optimized crystal structure of LiYBe. The functional is GGA-PBE.

Cell lengths 5.2250, 5.2228, 3.5295 Å; angles 70.29, 70.30, 39.49 degrees
With the nearest neighbours (Å) after each atom.
Fractional coordinates of all 3 atoms:
Be (0.9917, 0.9908, 0.0083)  4 Li 2.79-2.80, 5 Y 2.91-3.09
Li (0.3536, 0.3544, 0.6464)  1 Y 2.76, 4 Be 2.79-2.80
Y (0.6546, 0.6549, 0.3454)  1 Li 2.76, 5 Be 2.91-3.09

Output
ΔH_f (0 K) in meV per atom: 255
Energy above the lowest structure with this stoichiometry in meV/atom: 9
Total moment in μB per atom: 0.00